Here is a geometry-optimized Tl2HgP structure from the Alexandria database. Energies are from PBE-GGA.

Cell: 3.685 3.685 7.974 Å, 90.00 90.00 90.00°
Positions (direct):
1 Tl 0.000 0.000 0.000
2 Tl 0.500 0.500 0.346
3 Hg 0.000 0.000 0.607
4 P 0.500 0.500 0.742

Values from the calculation:
energy relative to the lowest polymorph listed for this composition = 132 meV per atom
energy of formation from the pure elements = 0.25 eV/atom